# 1
The following is a DFT calculation (PBE) of Zr2CrP after structural relaxation.

abc: 7.445 7.445 7.445
angles: 26.84 26.84 26.84
Last column: magnetic moment on the atom in μB.
Fractional positions:
Zr 0.006 0.006 0.006  -0.05
Zr 0.494 0.494 0.494  -0.05
P 0.750 0.750 0.750  0.03
Cr 0.250 0.250 0.250  0.56

Values from the calculation:
DOS(E_F): 0.91 states/eV per atom
Crystal system: trigonal
ΔH_f (0 K): -26 kJ per mole of atoms

# 2
The following is a DFT calculation (PBE) of Cs5Br4 after structural relaxation.

abc: 5.219 10.611 10.611
angles: 86.53 75.76 75.76
Fractional positions:
Cs 0.411 0.331 0.846
Cs 0.589 0.669 0.154
Cs 0.257 0.154 0.331
Cs 0.743 0.846 0.669
Cs 0.000 0.000 0.000
Br 0.097 0.127 0.678
Br 0.775 0.322 0.127
Br 0.903 0.873 0.322
Br 0.225 0.678 0.873

Values from the calculation:
DOS(E_F): 0.21 states/eV per atom
Uncorrected formation energy: -1.505 eV per atom
Crystal system: tetragonal

# 3
The following is a DFT calculation (PBE) of BiTe2MoN after structural relaxation.

abc: 5.561 5.561 3.834
angles: 90.00 90.00 90.00
Fractional positions:
N 0.000 0.000 0.500
Te 0.500 0.000 0.000
Te 0.000 0.500 0.000
Bi 0.500 0.500 0.500
Mo 0.000 0.000 0.000

Values from the calculation:
DOS(E_F): 0.72 states/eV per atom
Uncorrected formation energy: 0.184 eV per atom
Crystal system: tetragonal

What did the third record say?
The following is a DFT calculation (PBE) of BiTe2MoN after structural relaxation.

abc: 5.561 5.561 3.834
angles: 90.00 90.00 90.00
Fractional positions:
N 0.000 0.000 0.500
Te 0.500 0.000 0.000
Te 0.000 0.500 0.000
Bi 0.500 0.500 0.500
Mo 0.000 0.000 0.000

Values from the calculation:
DOS(E_F): 0.72 states/eV per atom
Uncorrected formation energy: 0.184 eV per atom
Crystal system: tetragonal

Q: Which formula does entry 1 have?
A: Zr2CrP

Q: Which of these has the highest DOS(E_F)?
A: Zr2CrP